Entry from the Alexandria database: a relaxed Ba3Fe2Br2O4 crystal (GGA+U).

The raw total energy is -5.683 eV/atom. As for the size of the total moment: 8.0 Bohr magnetons per cell.

Cell: 4.2066 4.2066 13.5047 Å, 98.96 98.96 90.00°
Positions (direct):
Fe: 0.5727 0.5727 0.1453
O: 0.9271 0.4271 0.8541
Br: 0.6983 0.6983 0.3966
O: 0.0729 0.5729 0.1459
Ba: 0.1427 0.1427 0.2854
Br: 0.3017 0.3017 0.6034
Fe: 0.4273 0.4273 0.8547
O: 0.5729 0.0729 0.1459
Ba: 0.0000 0.0000 0.0000
Ba: 0.8573 0.8573 0.7146
O: 0.4271 0.9271 0.8541